# TmUTe6, relaxed, DFT GGA-PBEsol
# M_tot (μB per formula unit): 2.33
# Formation energy from raw total energies (eV/atom): -0.671
# Symmetry: Amm2
data_TmUTe6
_cell_length_a 4.305
_cell_length_b 12.613
_cell_length_c 12.613
_cell_angle_alpha 19.59
_cell_angle_beta 90.00
_cell_angle_gamma 90.00
_symmetry_space_group_name_H-M 'P 1'
_symmetry_Int_Tables_number 1
loop_
_symmetry_equiv_pos_as_xyz
'x,y,z'
loop_
_atom_site_label
_atom_site_fract_x
_atom_site_fract_y
_atom_site_fract_z
Tm1 0.000 0.000 0.000
U1 0.500 0.664 0.664
Te1 0.000 0.127 0.127
Te2 0.000 0.405 0.405
Te3 0.000 0.758 0.758
Te4 0.500 0.258 0.258
Te5 0.500 0.538 0.538
Te6 0.500 0.905 0.905